1.
Tb3TmIr3 after structural relaxation, computed with PBE.

It has space group Cmmm (No. 65), with a = 9.7860 Å, b = 9.9816 Å, c = 6.5979 Å, α = 90.00°, β = 90.00° and γ = 90.00°. The inequivalent atoms are Tb at (0.0000, 0.2453, 0.0000), Tb at (0.2461, 0.0000, 0.0000), Tb at (0.2459, 0.5000, 0.5000), Tm at (0.0000, 0.2354, 0.5000), Ir at (0.0000, 0.0000, 0.2503) and Ir at (0.2500, 0.2500, 0.2534).

The energy above the most stable polymorph in this dataset is 17 meV/atom. For the spin magnetization, the calculation gives 0.00 Bohr magnetons per cell. As for the density: 12.6 Mg/m³. As for the density of states at the Fermi level: 0.431 states/eV/atom. The value obtained for the energy of formation from the pure elements is -69 kJ/mol of atoms. The uncorrected energy is -7.131 eV/atom.

2.
MnAlOsPd2 after structural relaxation, computed with PBE.

It has space group P4/mmm (No. 123), with a = 4.3783 Å, b = 4.3783 Å, c = 4.3482 Å, α = 90.00°, β = 90.00° and γ = 90.00°. The inequivalent atoms are Mn at (0.0000, 0.0000, 0.0000), Al at (0.0000, 0.0000, 0.5000), Os at (0.5000, 0.5000, 0.0000) and Pd at (0.0000, 0.5000, 0.5000).

For the spin magnetization, the calculation gives 1.75 Bohr magnetons per cell. As for the density: 9.7 Mg/m³. As for the density of states at the Fermi level: 1.716 states/eV/atom. The value obtained for the energy of formation from the pure elements is 126 kJ/mol of atoms. The uncorrected energy is -5.599 eV/atom.

3.
YHoNi after structural relaxation, computed with PBE.

It has space group P-1 (No. 2), with a = 3.6132 Å, b = 6.4506 Å, c = 6.9122 Å, α = 73.54°, β = 74.92° and γ = 73.74°. The inequivalent atoms are Y at (0.1655, 0.2434, 0.4264), Ho at (0.4130, 0.2822, 0.8923) and Ni at (0.1218, 0.9403, 0.8159).

The energy above the most stable polymorph in this dataset is 0 meV/atom. For the spin magnetization, the calculation gives 0.00 Bohr magnetons per cell. As for the density: 7.1 Mg/m³. As for the density of states at the Fermi level: 1.056 states/eV/atom. The value obtained for the energy of formation from the pure elements is -29 kJ/mol of atoms. The uncorrected energy is -5.912 eV/atom.

4.
BaMoPb2 after structural relaxation, computed with PBE.

It has space group Cmm2 (No. 35), with a = 4.2440 Å, b = 5.1732 Å, c = 10.4890 Å, α = 90.00°, β = 90.00° and γ = 90.00°. The inequivalent atoms are Ba at (0.0000, 0.0000, 0.0000), Mo at (0.0000, 0.5000, 0.7589), Pb at (0.0000, 0.0000, 0.5724) and Pb at (0.0000, 0.5000, 0.3003).

The energy above the most stable polymorph in this dataset is 428 meV/atom. For the spin magnetization, the calculation gives 0.00 Bohr magnetons per cell. As for the density: 9.3 Mg/m³. As for the density of states at the Fermi level: 1.049 states/eV/atom. The value obtained for the energy of formation from the pure elements is 65 kJ/mol of atoms. The uncorrected energy is -4.370 eV/atom.

5.
Sn2SbPt2 after structural relaxation, computed with PBE.

It has space group P4/mbm (No. 127), with a = 7.8437 Å, b = 7.8437 Å, c = 3.4347 Å, α = 90.00°, β = 90.00° and γ = 90.00°. The inequivalent atoms are Sn at (0.1566, 0.3434, 0.0000), Sb at (0.0000, 0.0000, 0.5000) and Pt at (0.1368, 0.6368, 0.5000).

The uncorrected formation energy comes out at -0.241 eV/atom. The energy above the most stable polymorph in this dataset is 0 meV/atom. For the spin magnetization, the calculation gives 0.00 Bohr magnetons per cell. As for the density: 11.8 Mg/m³. As for the density of states at the Fermi level: 0.490 states/eV/atom. The uncorrected energy is -5.083 eV/atom.

6.
ZrTlRe2 after structural relaxation, computed with PBE.

It has space group P4/mmm (No. 123), with a = 3.5041 Å, b = 3.5041 Å, c = 6.0665 Å, α = 90.00°, β = 90.00° and γ = 90.00°. The inequivalent atoms are Zr at (0.0000, 0.0000, 0.0000), Tl at (0.0000, 0.0000, 0.5000) and Re at (0.5000, 0.5000, 0.2245).

The energy above the most stable polymorph in this dataset is 384 meV/atom. For the spin magnetization, the calculation gives 0.00 Bohr magnetons per cell. As for the density: 14.9 Mg/m³. As for the density of states at the Fermi level: 0.834 states/eV/atom. The value obtained for the energy of formation from the pure elements is 51 kJ/mol of atoms. The uncorrected energy is -8.420 eV/atom.

7.
Sc3Pa after structural relaxation, computed with PBE.

It has space group Pm-3m (No. 221), with a = 4.5869 Å, b = 4.5869 Å, c = 4.5869 Å, α = 90.00°, β = 90.00° and γ = 90.00°. The inequivalent atoms are Sc at (0.0000, 0.0000, 0.5000) and Pa at (0.5000, 0.5000, 0.5000).

The energy above the most stable polymorph in this dataset is 101 meV/atom. For the spin magnetization, the calculation gives 0.00 Bohr magnetons per cell. As for the density: 6.3 Mg/m³. As for the density of states at the Fermi level: 1.104 states/eV/atom. The value obtained for the energy of formation from the pure elements is 12 kJ/mol of atoms. The uncorrected energy is -6.997 eV/atom.

8.
VSe3Br after structural relaxation, computed with PBE.

It has space group Pm-3m (No. 221), with a = 4.8355 Å, b = 4.8355 Å, c = 4.8355 Å, α = 90.00°, β = 90.00° and γ = 90.00°. The inequivalent atoms are V at (0.0000, 0.0000, 0.0000), Se at (0.0000, 0.0000, 0.5000) and Br at (0.5000, 0.5000, 0.5000).

The uncorrected formation energy comes out at 0.002 eV/atom. The energy above the most stable polymorph in this dataset is 295 meV/atom. For the spin magnetization, the calculation gives 0.00 Bohr magnetons per cell. As for the density: 5.4 Mg/m³. As for the density of states at the Fermi level: 1.298 states/eV/atom. The uncorrected energy is -4.247 eV/atom.

9.
PrSm7Ho3 after structural relaxation, computed with PBE.

It has space group P3m1 (No. 156), with a = 7.1727 Å, b = 7.1727 Å, c = 8.6623 Å, α = 90.00°, β = 90.00° and γ = 120.00°. The inequivalent atoms are Pr at (0.0000, 0.0000, 0.0000), Sm at (0.0018, 0.5009, 0.9877), Sm at (0.3320, 0.1660, 0.3319), Sm at (0.3333, 0.6667, 0.3202) and Ho at (0.1671, 0.3342, 0.6587).

The energy above the most stable polymorph in this dataset is 60 meV/atom. For the spin magnetization, the calculation gives 0.00 Bohr magnetons per cell. As for the density: 7.3 Mg/m³. As for the density of states at the Fermi level: 1.607 states/eV/atom. The value obtained for the energy of formation from the pure elements is 18 kJ/mol of atoms. The uncorrected energy is -4.495 eV/atom.

10.
InTeAu after structural relaxation, computed with PBE.

It has space group P3m1 (No. 156), with a = 4.2334 Å, b = 4.2334 Å, c = 5.0262 Å, α = 90.00°, β = 90.00° and γ = 120.00°. The inequivalent atoms are In at (0.0000, 0.0000, 0.0000), Te at (0.3333, 0.6667, 0.4052) and Au at (0.6667, 0.3333, 0.7074).

The uncorrected formation energy comes out at -0.166 eV/atom. For the spin magnetization, the calculation gives 0.00 Bohr magnetons per cell. As for the density: 9.4 Mg/m³. As for the density of states at the Fermi level: 0.339 states/eV/atom. The uncorrected energy is -3.218 eV/atom.

11.
ZnPtAu2 after structural relaxation, computed with PBE.

It has space group P4mm (No. 99), with a = 2.9331 Å, b = 2.9331 Å, c = 7.6252 Å, α = 90.00°, β = 90.00° and γ = 90.00°. The inequivalent atoms are Zn at (0.0000, 0.0000, 0.0000), Pt at (0.5000, 0.5000, 0.7879), Au at (0.0000, 0.0000, 0.5217) and Au at (0.5000, 0.5000, 0.2429).

For the spin magnetization, the calculation gives 0.00 Bohr magnetons per cell. As for the density: 16.6 Mg/m³. As for the density of states at the Fermi level: 0.397 states/eV/atom. The value obtained for the energy of formation from the pure elements is -20 kJ/mol of atoms. The uncorrected energy is -3.675 eV/atom.

12.
Na2ThSnTe4 after structural relaxation, computed with PBE.

It has space group P2/m (No. 10), with a = 7.8598 Å, b = 4.5722 Å, c = 7.9866 Å, α = 90.00°, β = 108.95° and γ = 90.00°. The inequivalent atoms are Na at (0.0000, 0.0000, 0.0000), Na at (0.0000, 0.5000, 0.5000), Th at (0.5000, 0.0000, 0.5000), Sn at (0.5000, 0.5000, 0.0000), Te at (0.2645, 0.0000, 0.7471) and Te at (0.2648, 0.5000, 0.2590).

The uncorrected formation energy comes out at -0.917 eV/atom. For the spin magnetization, the calculation gives 0.00 Bohr magnetons per cell. As for the density: 5.5 Mg/m³. The uncorrected energy is -4.245 eV/atom.

- The highest uncorrected energy belongs to which entry?
  InTeAu

- What is the formula in the ninth record?
  PrSm7Ho3